1.
# PBE NdSmHo2Bi4, optimized geometry
# **E**: -5.1552 eV/atom
# **Density of states at the Fermi level**: 0.155 states/eV per atom
data_NdSmHo2Bi4
_chemical_formula_sum 'Nd1 Sm1 Ho2 Bi4'
_cell_length_a 7.829
_cell_length_b 4.527
_cell_length_c 7.836
_cell_angle_alpha 90.00
_cell_angle_beta 109.49
_cell_angle_gamma 90.00
_space_group_name_H-M_alt 'P 1 2/m 1'
_space_group_IT_number 10
loop_
_space_group_symop_operation_xyz
'x,y,z'
'-x,-y,-z'
'-x,y,-z'
'x,-y,z'
loop_
_atom_site_label
_atom_site_type_symbol
_atom_site_fract_x
_atom_site_fract_y
_atom_site_fract_z
Nd1 Nd 0.000 0.000 0.000
Sm1 Sm 0.000 0.500 0.500
Ho1 Ho 0.500 0.000 0.500
Ho2 Ho 0.500 0.500 0.000
Bi1 Bi 0.258 0.000 0.751
Bi2 Bi 0.259 0.500 0.254


2.
# PBE MgCoTc2Pt, optimized geometry
# **E**: -5.6490 eV/atom
# **Density of states at the Fermi level**: 1.509 states/eV per atom
data_MgCoTc2Pt
_chemical_formula_sum 'Mg1 Co1 Tc2 Pt1'
_cell_length_a 4.787
_cell_length_b 4.787
_cell_length_c 4.639
_cell_angle_alpha 90.00
_cell_angle_beta 90.00
_cell_angle_gamma 90.00
_space_group_name_H-M_alt 'P 4/m m m'
_space_group_IT_number 123
_space_group_name_Hall '-P 4 2'
loop_
_atom_site_label
_atom_site_type_symbol
_atom_site_fract_x
_atom_site_fract_y
_atom_site_fract_z
Mg1 Mg 0.000 0.000 0.000
Co1 Co 0.500 0.500 0.000
Tc1 Tc 0.000 0.500 0.500
Pt1 Pt 0.500 0.500 0.500